DFT (PBE-GGA) results for a geometry-optimized LaCu2Pt structure.

a b c (Å): 4.312 4.312 5.521
angles (deg): 66.87 66.87 60.07
Fractional coordinates of all 4 atoms:
1 Cu 0.005 0.005 0.985
2 Cu 0.701 0.701 0.896
3 Pt 0.292 0.292 0.123
4 La 0.501 0.501 0.496

- spin magnetization (μB/cell) = 0.0
- E_form (eV/atom) = -0.52
- Fermi-level density of states (states/eV/f.u.) = 2.42
- energy relative to the lowest polymorph listed for this composition (eV/f.u.) = 0.00
- space group = No. 8
- total energy (eV per cell) = -21.239

DFT (PBE-GGA) results for a geometry-optimized Cs2AlReBi structure.

a b c (Å): 6.227 5.302 6.227
angles (deg): 90.00 90.00 90.00
Fractional coordinates of all 5 atoms:
1 Cs 0.000 0.000 0.500
2 Cs 0.500 0.000 0.000
3 Re 0.000 0.000 0.000
4 Bi 0.000 0.500 0.000
5 Al 0.500 0.500 0.500

- spin magnetization (μB/cell) = 0.0
- E_form (eV/atom) = 1.24
- Fermi-level density of states (states/eV/f.u.) = 4.65
- space group = No. 123
- total energy (eV per cell) = -15.561

DFT (PBE-GGA) results for a geometry-optimized BaLiPRu structure.

a b c (Å): 4.073 4.073 12.472
angles (deg): 90.00 90.00 90.00
Fractional coordinates of all 8 atoms:
1 Ba 0.750 0.750 0.231
2 Ba 0.250 0.250 0.769
3 Li 0.250 0.750 0.500
4 Li 0.750 0.250 0.500
5 P 0.750 0.750 0.907
6 P 0.250 0.250 0.093
7 Ru 0.750 0.250 0.000
8 Ru 0.250 0.750 0.000

- spin magnetization (μB/cell) = 0.0
- E_form (eV/atom) = -0.61
- Fermi-level density of states (states/eV/f.u.) = 2.00
- space group = No. 129
- total energy (eV per cell) = -41.888

DFT (PBE-GGA) results for a geometry-optimized LiRe2Pt structure.

a b c (Å): 4.331 4.331 4.331
angles (deg): 60.00 60.00 60.00
Fractional coordinates of all 4 atoms:
1 Li 0.000 0.000 0.000
2 Pt 0.500 0.500 0.500
3 Re 0.250 0.250 0.250
4 Re 0.750 0.750 0.750

- spin magnetization (μB/cell) = 0.0
- E_form (eV/atom) = 0.56
- Fermi-level density of states (states/eV/f.u.) = 6.77
- energy relative to the lowest polymorph listed for this composition (eV/f.u.) = 2.43
- space group = No. 225
- total energy (eV per cell) = -30.614

DFT (PBE-GGA) results for a geometry-optimized CdAgAs2 structure.

a b c (Å): 6.356 6.356 6.356
angles (deg): 147.47 141.23 51.48
Fractional coordinates of all 4 atoms:
1 As 0.947 0.947 0.000
2 As 0.781 0.281 0.500
3 Ag 0.226 0.726 0.500
4 Cd 0.546 0.546 0.000

- spin magnetization (μB/cell) = 0.0
- E_form (eV/atom) = 0.15
- Fermi-level density of states (states/eV/f.u.) = 1.10
- space group = No. 44
- total energy (eV per cell) = -12.453

DFT (PBE-GGA) results for a geometry-optimized K2TmCd3Hg12 structure.

a b c (Å): 13.643 13.643 13.643
angles (deg): 29.40 29.40 29.40
Fractional coordinates of all 18 atoms:
1 K 0.639 0.639 0.639
2 K 0.361 0.361 0.361
3 Tm 0.000 0.000 0.000
4 Cd 0.500 0.000 0.000
5 Cd 0.000 0.500 0.000
6 Cd 0.000 0.000 0.500
7 Hg 0.406 0.406 0.849
8 Hg 0.889 0.889 0.392
9 Hg 0.392 0.889 0.889
10 Hg 0.849 0.406 0.406
11 Hg 0.889 0.392 0.889
12 Hg 0.406 0.849 0.406
13 Hg 0.594 0.594 0.151
14 Hg 0.111 0.111 0.608
15 Hg 0.608 0.111 0.111
16 Hg 0.151 0.594 0.594
17 Hg 0.111 0.608 0.111
18 Hg 0.594 0.151 0.594

- spin magnetization (μB/cell) = 0.0
- E_form (eV/atom) = -0.07
- Fermi-level density of states (states/eV/f.u.) = 9.62
- space group = No. 166
- total energy (eV per cell) = -14.314

DFT (PBE-GGA) results for a geometry-optimized TbPrC4 structure.

a b c (Å): 3.775 4.226 6.695
angles (deg): 80.34 73.62 63.47
Fractional coordinates of all 6 atoms:
1 Tb 0.500 0.500 0.500
2 Pr 0.000 0.000 0.000
3 C 0.807 0.601 0.785
4 C 0.299 0.089 0.312
5 C 0.193 0.399 0.215
6 C 0.701 0.911 0.688

- spin magnetization (μB/cell) = 0.0
- E_form (eV/atom) = -0.14
- Fermi-level density of states (states/eV/f.u.) = 1.56
- space group = No. 12
- total energy (eV per cell) = -47.143

DFT (PBE-GGA) results for a geometry-optimized GdSn5 structure.

a b c (Å): 4.540 4.656 8.002
angles (deg): 106.91 90.00 90.00
Fractional coordinates of all 6 atoms:
1 Gd 0.000 0.000 0.000
2 Sn 0.000 0.658 0.316
3 Sn 0.000 0.342 0.684
4 Sn 0.500 0.500 0.000
5 Sn 0.500 0.170 0.340
6 Sn 0.500 0.830 0.660

- spin magnetization (μB/cell) = 7.1
- E_form (eV/atom) = -0.25
- Fermi-level density of states (states/eV/f.u.) = 3.30
- space group = No. 65
- total energy (eV per cell) = -35.616